# 1
## CeGa2Ni (PBEsol)

Data for crystalline CeGa2Ni at its relaxed geometry.

abc: 8.8484 8.8484 4.0504
angles: 90.00 90.00 153.10
Last column: nearest neighbours and their distance in Å.
Positions (direct):
Ce 0.1417 0.8583 0.0000  4 Ni 3.11, 10 Ga 3.12-3.25
Ce 0.8583 0.1417 0.0000  4 Ni 3.11, 10 Ga 3.12-3.25
Ga 0.0000 0.0000 0.5000  4 Ni 2.42
Ga 0.2896 0.7104 0.5000  1 Ni 2.34, 2 Ga 2.47
Ga 0.5000 0.5000 0.0000  4 Ni 2.40
Ga 0.7104 0.2896 0.5000  1 Ni 2.34, 2 Ga 2.47
Ni 0.4257 0.5743 0.5000  5 Ga 2.34-2.42, 1 Ni 2.56
Ni 0.5743 0.4257 0.5000  5 Ga 2.34-2.42, 1 Ni 2.56

Calculated values
Total moment = 0.3 μB per formula unit
ΔE_f = -0.585 eV/atom
Uncorrected energy = -0.2001 hartree per atom

=====

# 2
## CdW2Cl (PBEsol)

Data for crystalline CdW2Cl at its relaxed geometry.

abc: 5.6672 5.6672 5.6672
angles: 141.09 141.09 56.20
Last column: nearest neighbours and their distance in Å.
Positions (direct):
Cd 0.0000 0.0000 0.0000  4 Cl 2.67
W 0.2500 0.7500 0.5000  4 W 2.67
W 0.7500 0.2500 0.5000  4 W 2.67
Cl 0.5000 0.5000 0.0000  4 Cd 2.67

Calculated values
Distance to the lowest polymorph of the same formula = 622 meV/atom
Total moment = 0.0 μB per formula unit
Uncorrected energy = -0.2353 hartree per atom

=====

# 3
## K2LaTe (PBEsol)

Data for crystalline K2LaTe at its relaxed geometry.

abc: 6.3881 6.3881 6.3881
angles: 132.64 132.64 69.22
Last column: nearest neighbours and their distance in Å.
Positions (direct):
K 0.0000 0.0000 0.0000  4 La 3.63, 4 K 3.67, 4 Te 3.67
K 0.7500 0.2500 0.5000  4 Te 3.63, 4 La 3.67, 4 K 3.67
La 0.5000 0.5000 0.0000  8 K 3.63-3.67, 4 Te 3.67
Te 0.2500 0.7500 0.5000  8 K 3.63-3.67, 4 La 3.67

Calculated values
Total moment = 0.0 μB per formula unit
Uncorrected energy = -0.1081 hartree per atom

=====

# 4
## Li2NiAg (PBEsol)

Data for crystalline Li2NiAg at its relaxed geometry.

abc: 2.6163 4.1592 5.0491
angles: 90.00 102.78 90.00
Last column: nearest neighbours and their distance in Å.
Positions (direct):
Li 0.0000 0.0000 0.0000  2 Ag 2.46-2.68, 2 Ni 2.53, 4 Li 2.55-2.62
Li 0.1902 0.5000 0.7459  2 Ni 2.52-2.66, 4 Li 2.55-2.62, 2 Ag 2.67
Ni 0.7977 0.5000 0.2435  4 Li 2.52-2.66, 2 Ni 2.62, 4 Ag 2.63-2.81
Ag 0.4709 0.0000 0.4800  4 Li 2.46-2.68, 2 Ag 2.62, 2 Ni 2.63

Calculated values
Total moment = 0.0 μB per formula unit
ΔE_f = 0.027 eV/atom
Uncorrected energy = -0.1221 hartree per atom

=====

# 5
## YOsBr (PBEsol)

Data for crystalline YOsBr at its relaxed geometry.

abc: 4.4050 4.4050 3.3728
angles: 90.00 90.00 120.00
Last column: nearest neighbours and their distance in Å.
Positions (direct):
Y 0.0000 0.0000 0.0000  6 Os 3.00-3.11, 6 Br 3.02-3.08
Os 0.3333 0.6667 0.5288  3 Br 2.55
Br 0.6667 0.3333 0.4837  3 Os 2.55

Calculated values
Distance to the lowest polymorph of the same formula = 0 meV/atom
Total moment = 0.0 μB per formula unit
Uncorrected energy = -0.2550 hartree per atom

=====

# 6
## Zn4P3 (PBEsol)

Data for crystalline Zn4P3 at its relaxed geometry.

abc: 5.1056 5.1056 4.7809
angles: 90.00 90.00 120.00
Last column: nearest neighbours and their distance in Å.
Positions (direct):
Zn 0.0000 0.0000 0.2436  2 Zn 2.33-2.45
Zn 0.0000 0.0000 0.7564  2 Zn 2.33-2.45
Zn 0.3333 0.6667 0.0000  6 P 2.81, 3 Zn 2.95
Zn 0.6667 0.3333 0.0000  6 P 2.81, 3 Zn 2.95
P 0.0000 0.5000 0.5000  4 P 2.55, 8 Zn 2.81-2.83
P 0.5000 0.0000 0.5000  4 P 2.55, 8 Zn 2.81-2.83
P 0.5000 0.5000 0.5000  4 P 2.55, 8 Zn 2.81-2.83

Calculated values
Distance to the lowest polymorph of the same formula = 300 meV/atom
Total moment = 0.0 μB per formula unit
ΔE_f = 0.375 eV/atom
Uncorrected energy = -0.1107 hartree per atom

=====

# 7
## Li2YTl2 (PBEsol)

Data for crystalline Li2YTl2 at its relaxed geometry.

abc: 8.0894 8.0894 3.2243
angles: 90.00 90.00 90.00
Last column: nearest neighbours and their distance in Å.
Positions (direct):
Li 0.1158 0.3842 0.0000  1 Li 2.65, 6 Tl 2.83-2.94
Li 0.3842 0.8842 0.0000  1 Li 2.65, 6 Tl 2.83-2.94
Li 0.6158 0.1158 0.0000  1 Li 2.65, 6 Tl 2.83-2.94
Li 0.8842 0.6158 0.0000  1 Li 2.65, 6 Tl 2.83-2.94
Y 0.0000 0.0000 0.0000  2 Y 3.22, 4 Li 3.25, 8 Tl 3.38
Y 0.5000 0.5000 0.0000  2 Y 3.22, 4 Li 3.25, 8 Tl 3.38
Tl 0.1806 0.6806 0.5000  6 Li 2.83-2.94
Tl 0.3194 0.1806 0.5000  6 Li 2.83-2.94
Tl 0.6806 0.8194 0.5000  6 Li 2.83-2.94
Tl 0.8194 0.3194 0.5000  6 Li 2.83-2.94

Calculated values
Total moment = 0.2 μB per formula unit
ΔE_f = -0.289 eV/atom
Uncorrected energy = -0.1284 hartree per atom

=====

# 8
## La2MnHg (PBEsol)

Data for crystalline La2MnHg at its relaxed geometry.

abc: 6.3352 6.3352 5.1166
angles: 113.70 113.70 33.11
Last column: nearest neighbours and their distance in Å.
Positions (direct):
La 0.0000 0.0000 0.0000  4 Mn 3.17-3.18, 2 La 3.36, 2 Hg 3.48
La 0.1976 0.1976 0.6966  4 Hg 3.23, 2 Mn 3.25, 4 La 3.36-3.61
Mn 0.4520 0.4520 0.4530  2 Hg 2.70
Hg 0.7695 0.7695 0.2678  2 Mn 2.70

Calculated values
Total moment = 3.2 μB per formula unit
ΔE_f = -0.006 eV/atom
Uncorrected energy = -0.1934 hartree per atom

=====

# 9
## PPt2Se (PBEsol)

Data for crystalline PPt2Se at its relaxed geometry.

abc: 6.0736 6.0736 6.0736
angles: 34.96 34.96 34.96
Last column: nearest neighbours and their distance in Å.
Positions (direct):
P 0.0000 0.0000 0.0000  6 Pt 2.40
Pt 0.2656 0.2656 0.2656  3 P 2.40
Pt 0.7344 0.7344 0.7344  3 P 2.40
Se 0.5000 0.5000 0.5000  6 Pt 2.70

Calculated values
Distance to the lowest polymorph of the same formula = 0 meV/atom
Total moment = 0.0 μB per formula unit
Uncorrected energy = -0.2240 hartree per atom

=====

# 10
## BaZnRh2 (PBEsol)

Data for crystalline BaZnRh2 at its relaxed geometry.

abc: 3.1582 3.2974 7.0420
angles: 90.00 98.14 90.00
Last column: nearest neighbours and their distance in Å.
Positions (direct):
Ba 0.0000 0.0000 0.0000  4 Rh 2.93, 2 Ba 3.16
Zn 0.0000 0.0000 0.5000  8 Rh 2.63-2.64
Rh 0.4395 0.5000 0.3108  4 Zn 2.63-2.64, 1 Rh 2.64, 2 Ba 2.93
Rh 0.5605 0.5000 0.6892  4 Zn 2.63-2.64, 1 Rh 2.64, 2 Ba 2.93

Calculated values
Total moment = 0.0 μB per formula unit
ΔE_f = 0.077 eV/atom
Uncorrected energy = -0.1810 hartree per atom

=====

# 11
## CaTaCd2Pb (PBEsol)

Data for crystalline CaTaCd2Pb at its relaxed geometry.

abc: 5.4001 5.4001 5.3680
angles: 90.00 90.00 90.00
Last column: nearest neighbours and their distance in Å.
Positions (direct):
Ca 0.0000 0.0000 0.0000  8 Cd 3.81, 4 Ta 3.82
Ta 0.5000 0.5000 0.0000  2 Pb 2.68
Cd 0.0000 0.5000 0.5000  2 Pb 2.70
Cd 0.5000 0.0000 0.5000  2 Pb 2.70
Pb 0.5000 0.5000 0.5000  2 Ta 2.68, 4 Cd 2.70

Calculated values
Total moment = 1.6 μB per formula unit
ΔE_f = 1.054 eV/atom
Uncorrected energy = -0.1162 hartree per atom

=====

# 12
## LaRe2Mo (PBEsol)

Data for crystalline LaRe2Mo at its relaxed geometry.

abc: 4.5950 4.5950 4.5950
angles: 60.00 60.00 60.00
Last column: nearest neighbours and their distance in Å.
Positions (direct):
La 0.0000 0.0000 0.0000  4 Mo 2.81, 4 Re 2.81
Re 0.5000 0.5000 0.5000  4 Mo 2.81, 4 Re 2.81
Re 0.7500 0.7500 0.7500  4 La 2.81, 4 Re 2.81
Mo 0.2500 0.2500 0.2500  4 La 2.81, 4 Re 2.81

Calculated values
Distance to the lowest polymorph of the same formula = 128 meV/atom
Total moment = 0.0 μB per formula unit
ΔE_f = 0.500 eV/atom
Uncorrected energy = -0.3838 hartree per atom